(1)
# TlSn2Mo2 PBE-GGA relaxed
data_TlSn2Mo2
_chemical_formula_sum 'Tl2 Sn4 Mo4'
_cell_length_a 7.472
_cell_length_b 7.472
_cell_length_c 3.663
_cell_angle_alpha 90.00
_cell_angle_beta 90.00
_cell_angle_gamma 90.00
_space_group_name_H-M_alt 'P 4/m b m'
_space_group_IT_number 127
_space_group_name_Hall '-P 4 2ab'
loop_
_atom_site_label
_atom_site_fract_x
_atom_site_fract_y
_atom_site_fract_z
Tl1 0.000 0.000 0.000
Sn1 0.153 0.347 0.500
Mo1 0.141 0.641 0.000
# - density of states at the Fermi level (states/eV/cell) = 9.8
# - formation energy from the elements (kJ per mole of atoms) = 33.2
# - theoretical density (g cm⁻³) = 10.29

=====

(2)
# Fe4Pd2Pt3 PBE-GGA relaxed
data_Fe4Pd2Pt3
_chemical_formula_sum 'Fe8 Pd4 Pt6'
_cell_length_a 8.505
_cell_length_b 3.880
_cell_length_c 8.074
_cell_angle_alpha 90.00
_cell_angle_beta 106.36
_cell_angle_gamma 90.00
_space_group_name_H-M_alt 'C 1 2/m 1'
_space_group_IT_number 12
_space_group_name_Hall '-C 2y'
loop_
_atom_site_label
_atom_site_fract_x
_atom_site_fract_y
_atom_site_fract_z
Fe1 0.005 0.000 0.336
Fe2 0.169 0.500 0.893
Pd1 0.166 0.500 0.217
Pt1 0.000 0.000 0.000
Pt2 0.164 0.500 0.565
# - density of states at the Fermi level (states/eV/cell) = 14.5
# - formation energy from the elements (kJ per mole of atoms) = -16.2
# - theoretical density (g cm⁻³) = 13.27

=====

(3)
# LaPmY2Er PBE-GGA relaxed
data_LaPmY2Er
_chemical_formula_sum 'La2 Pm2 Y4 Er2'
_cell_length_a 9.140
_cell_length_b 6.438
_cell_length_c 6.338
_cell_angle_alpha 90.00
_cell_angle_beta 108.78
_cell_angle_gamma 90.00
_space_group_name_H-M_alt 'P 1 2/c 1'
_space_group_IT_number 13
_space_group_name_Hall '-P 2yc'
loop_
_atom_site_label
_atom_site_fract_x
_atom_site_fract_y
_atom_site_fract_z
La1 0.000 0.000 0.000
Pm1 0.500 0.165 0.250
Y1 0.316 0.329 0.663
Er1 0.000 0.490 0.250
# - density of states at the Fermi level (states/eV/cell) = 16.4
# - formation energy from the elements (kJ per mole of atoms) = 27.3
# - theoretical density (g cm⁻³) = 5.92